1.
Entry from Alexandria via LeMat-Bulk: a relaxed LaBTe2 crystal (PBE).

Structure (POSCAR):
```
LaBTe2
1.0
2.4934 0.0000 7.1846
-1.2467 2.1593 7.1846
-1.2467 -2.1593 7.1846
B Te La
1 2 1
Direct
0.5000 0.5000 0.5000 B
0.7613 0.7613 0.7613 Te
0.2387 0.2387 0.2387 Te
0.0000 0.0000 0.0000 La
```

Properties
SG = No. 166
Spin magnetization = 0.00 μB per atom
Total energy = -17.91 eV/cell
Formation energy without anion corrections = -2 kJ/mol of formula units

---

2.
Entry from Alexandria via LeMat-Bulk: a relaxed AcLa2PmNd6 crystal (PBE).

Structure (POSCAR):
```
AcLa2PmNd6
1.0
9.5380 -2.2345 -2.3189
0.9342 8.8516 -2.1422
0.9342 -2.4688 8.7661
Ac La Nd Pm
2 4 12 2
Direct
0.7500 0.0186 0.9814 Ac
0.2500 0.9814 0.0186 Ac
0.0428 0.3066 0.1927 La
0.9572 0.6934 0.8073 La
0.5428 0.1927 0.3066 La
0.4572 0.8073 0.6934 La
0.0546 0.1246 0.7404 Nd
0.1184 0.7058 0.4998 Nd
0.3816 0.5002 0.2942 Nd
0.5546 0.7404 0.1246 Nd
0.1882 0.5685 0.0214 Nd
0.4454 0.2596 0.8754 Nd
0.6184 0.4998 0.7058 Nd
0.8816 0.2942 0.5002 Nd
0.6882 0.0214 0.5685 Nd
0.8118 0.4315 0.9786 Nd
0.9454 0.8754 0.2596 Nd
0.3118 0.9786 0.4315 Nd
0.7500 0.5932 0.4068 Pm
0.2500 0.4068 0.5932 Pm
```

Properties
SG = No. 15
Spin magnetization = 0.00 μB per atom
Energy of formation from the pure elements = 113 meV per atom
Total energy = -92.37 eV/cell